The following is a PBE-GGA calculation of a relaxed AgPtF2 crystal, from Alexandria.

symmetry: R-3m, No. 166
polymorph energy (0 for the lowest one): 0 meV per atom
DFT total energy: -3.94 eV per atom
magnetic moment: 0.000 μB per cell

a = 2.8768 Å, b = 2.8768 Å, c = 23.3906 Å
α = 90.00°, β = 90.00°, γ = 120.00°
With the nearest neighbours (Å) after each atom.
Fractional positions:
Ag1 0.0000 0.0000 0.0000  6 F 2.51
Ag2 0.3333 0.6667 0.6667  6 F 2.51
Ag3 0.6667 0.3333 0.3333  6 F 2.51
Pt1 0.0000 0.0000 0.5000  2 F 2.01
Pt2 0.3333 0.6667 0.1667  2 F 2.01
Pt3 0.6667 0.3333 0.8333  2 F 2.01
F1 0.0000 0.0000 0.4140  1 Pt 2.01
F2 0.0000 0.0000 0.5860  1 Pt 2.01
F3 0.3333 0.6667 0.0806  1 Pt 2.01
F4 0.3333 0.6667 0.2527  1 Pt 2.01
F5 0.6667 0.3333 0.7473  1 Pt 2.01
F6 0.6667 0.3333 0.9194  1 Pt 2.01